# FeIr (PBE, relaxed)
data_FeIr
_cell_length_a 5.2104
_cell_length_b 5.2104
_cell_length_c 5.2104
_cell_angle_alpha 90.00
_cell_angle_beta 90.00
_cell_angle_gamma 90.00
_symmetry_space_group_name_H-M 'F -4 3 m'
_symmetry_Int_Tables_number 216
_symmetry_space_group_name_Hall 'F -4 2 3'
loop_
_atom_site_label
_atom_site_type_symbol
_atom_site_fract_x
_atom_site_fract_y
_atom_site_fract_z
Fe1 Fe 0.0000 0.0000 0.0000
Ir1 Ir 0.2500 0.2500 0.7500
# Total magnetic moment: 0.00 μB per cell
# Calculated formation energy: 961 meV per atom
# Calculated volume: 17.7 A^3/atom
# DFT total energy: -7.621 eV per atom
# Crystal system: cubic

---

# FeIr13 (PBE, relaxed)
data_FeIr13
_cell_length_a 10.4008
_cell_length_b 7.3039
_cell_length_c 5.5348
_cell_angle_alpha 90.00
_cell_angle_beta 101.71
_cell_angle_gamma 90.00
_symmetry_space_group_name_H-M 'C 1 2/m 1'
_symmetry_Int_Tables_number 12
loop_
_symmetry_equiv_pos_as_xyz
'x,y,z'
'-x,-y,-z'
'-x,y,-z'
'x,-y,z'
'x+1/2,y+1/2,z'
'-x+1/2,-y+1/2,-z'
'-x+1/2,y+1/2,-z'
'x+1/2,-y+1/2,z'
loop_
_atom_site_label
_atom_site_type_symbol
_atom_site_fract_x
_atom_site_fract_y
_atom_site_fract_z
Fe1 Fe 0.0000 0.0000 0.0000
Ir1 Ir 0.0000 0.0000 0.5000
Ir2 Ir 0.0737 0.3035 0.8272
Ir3 Ir 0.1160 0.5000 0.4452
Ir4 Ir 0.1805 0.1835 0.2821
Ir5 Ir 0.2287 0.0000 0.8811
# Total magnetic moment: 0.00 μB per cell
# Calculated formation energy: 177 meV per atom
# Calculated volume: 14.7 A^3/atom
# DFT total energy: -8.639 eV per atom
# Crystal system: monoclinic